A plane-wave DFT calculation with PBE was carried out for a geometry-optimized Hf2AlN structure.

Unit cell a=6.0623 b=4.6070 c=8.8545 alpha=90.00 beta=90.00 gamma=90.00
Closest atoms and distances in Å follow each position.
Fractional positions:
Hf  0.0517  0.2500  0.2102  2 N 2.21-2.25
Hf  0.1651  0.2500  0.5537  3 N 2.18-2.31
Hf  0.3349  0.7500  0.0537  3 N 2.18-2.31
Hf  0.4483  0.7500  0.7102  2 N 2.21-2.25
Hf  0.5517  0.2500  0.2898  2 N 2.21-2.25
Hf  0.6651  0.2500  0.9463  3 N 2.18-2.31
Hf  0.8349  0.7500  0.4463  3 N 2.18-2.31
Hf  0.9483  0.7500  0.7898  2 N 2.21-2.25
Al  0.1817  0.2500  0.8806  1 N 2.01
Al  0.3183  0.7500  0.3806  1 N 2.01
Al  0.6817  0.2500  0.6194  1 N 2.01
Al  0.8183  0.7500  0.1194  1 N 2.01
N  0.1425  0.7500  0.5734  1 Al 2.01, 3 Hf 2.18-2.25
N  0.3575  0.2500  0.0734  1 Al 2.01, 3 Hf 2.18-2.25
N  0.6425  0.7500  0.9266  1 Al 2.01, 3 Hf 2.18-2.25
N  0.8575  0.2500  0.4266  1 Al 2.01, 3 Hf 2.18-2.25

Computed properties:
SG   Pnma (62)
Raw total energy   -8.960 eV/atom
Total magnetic moment   0.00 μB per cell
Calculated density   10.689 g/cm3